GGA-PBE MnAlTe, optimized geometry; energy above the most stable polymorph in this dataset = 0.000 eV/f.u.; raw formation energy = 0.1470 eV per atom; symmetry = No. 216; total energy = -5.204 eV per atom
1.0
0.000 3.069 3.069
3.069 0.000 3.069
3.069 3.069 0.000
Mn Al Te
1 1 1
direct
0.000 0.000 0.000
0.250 0.250 0.250
0.750 0.750 0.750

GGA-PBE MnAlTe, optimized geometry; energy above the most stable polymorph in this dataset = 0.106 eV/f.u.; raw formation energy = 0.1823 eV per atom; symmetry = No. 107; total energy = -5.169 eV per atom
1.0
-1.764 1.764 4.455
1.764 -1.764 4.455
1.764 1.764 -4.455
Mn Al Te
1 1 1
direct
0.000 0.000 0.000
0.352 0.352 0.000
0.668 0.668 0.000

GGA-PBE MnAlTe4, optimized geometry; energy above the most stable polymorph in this dataset = 5.501 eV/f.u.; raw formation energy = 0.6825 eV per atom; symmetry = No. 216; total energy = -3.564 eV per atom
1.0
0.000 4.505 4.505
4.505 0.000 4.505
4.505 4.505 0.000
Mn Al Te
1 1 4
direct
0.000 0.000 0.000
0.250 0.250 0.250
0.123 0.626 0.626
0.626 0.123 0.626
0.626 0.626 0.123
0.626 0.626 0.626

GGA-PBE MnAl2Te, optimized geometry; raw formation energy = 0.3654 eV per atom; symmetry = No. 216; total energy = -4.584 eV per atom
1.0
0.000 3.393 3.393
3.393 0.000 3.393
3.393 3.393 0.000
Mn Al Te
1 2 1
direct
0.000 0.000 0.000
0.500 0.500 0.500
0.750 0.750 0.750
0.250 0.250 0.250

GGA-PBE MnAl2Te, optimized geometry; raw formation energy = 0.1944 eV per atom; symmetry = No. 12; total energy = -4.755 eV per atom
1.0
2.798 -5.212 0.000
2.798 5.212 0.000
-2.529 0.000 2.830
Mn Al Te
1 2 1
direct
0.000 0.000 0.000
0.000 0.500 0.500
0.500 0.000 0.500
0.500 0.500 0.000

GGA-PBE MnAl2Te, optimized geometry; raw formation energy = 0.1439 eV per atom; symmetry = No. 8; total energy = -4.805 eV per atom
1.0
4.136 -1.794 0.000
4.136 1.794 0.000
-2.906 0.000 5.667
Mn Al Te
1 2 1
direct
0.000 0.000 0.000
0.538 0.538 0.349
0.765 0.765 0.165
0.210 0.210 0.761

GGA-PBE MnAlTe6, optimized geometry; raw formation energy = -0.0835 eV per atom; symmetry = No. 2; total energy = -4.054 eV per atom
1.0
6.592 0.000 0.000
0.531 6.676 0.000
3.144 2.942 5.179
Mn Al Te
1 1 6
direct
0.000 0.000 0.000
0.500 0.500 0.000
0.183 0.421 0.855
0.284 0.805 0.171
0.290 0.093 0.515
0.710 0.907 0.485
0.716 0.195 0.829
0.817 0.579 0.145

GGA-PBE MnAlTe3, optimized geometry; energy above the most stable polymorph in this dataset = 0.212 eV/f.u.; raw formation energy = -0.1840 eV per atom; symmetry = No. 62; total energy = -4.651 eV per atom
1.0
7.403 0.000 0.000
0.000 11.305 0.000
0.000 0.000 7.112
Mn Al Te
4 4 12
direct
0.000 0.000 0.000
0.000 0.500 0.000
0.500 0.000 0.500
0.500 0.500 0.500
0.178 0.250 0.458
0.322 0.750 0.958
0.678 0.250 0.042
0.822 0.750 0.542
0.036 0.250 0.112
0.162 0.049 0.644
0.162 0.451 0.644
0.338 0.549 0.144
0.338 0.951 0.144
0.464 0.750 0.612
0.536 0.250 0.388
0.662 0.049 0.856
0.662 0.451 0.856
0.838 0.549 0.356
0.838 0.951 0.356
0.964 0.750 0.888